Entry 1:
Ac4Bi2AsSe (PBE-GGA, relaxed); E_form (uncorrected) = -1342 meV/atom; energy = -5.38 eV per atom; space group = P2/m, No. 10; spin magnetization = 0.00 μB/atom
1.0
8.130 0.000 0.000
0.000 4.697 0.000
-2.706 0.000 7.669
Ac Bi As Se
4 2 1 1
Cartesian
1.323 0.000 1.788
-0.033 2.349 5.860
5.458 2.349 1.810
4.102 0.000 5.882
-1.353 0.000 3.835
2.712 2.349 3.835
0.000 2.349 0.000
4.065 0.000 0.000

***

Entry 2:
YPIr2N (PBE-GGA, relaxed); E_form (uncorrected) = 2060 meV/atom; energy = -5.52 eV per atom; space group = P4/mmm, No. 123; spin magnetization = 0.52 μB/atom
1.0
5.142 0.000 0.000
0.000 5.142 0.000
0.000 0.000 4.144
Y P Ir N
1 1 2 1
Cartesian
0.000 0.000 0.000
2.571 2.571 2.072
0.000 2.571 0.000
2.571 0.000 0.000
0.000 0.000 2.072

***

Entry 3:
HfTaNb2 (PBE-GGA, relaxed); energy = -10.33 eV per atom; calculated formation energy = 0.1527 eV/atom; energy above the lowest structure with this stoichiometry = 118 meV/atom; space group = Pnma, No. 62; spin magnetization = 0.00 μB/atom
1.0
5.575 0.000 0.000
0.000 4.918 0.000
0.000 0.000 11.370
Hf Ta Nb
4 4 8
Cartesian
0.891 1.230 2.047
1.896 3.689 7.732
3.679 1.230 3.638
4.684 3.689 9.323
0.793 1.230 5.159
1.994 3.689 10.844
3.581 1.230 0.526
4.781 3.689 6.211
0.269 1.230 7.757
0.489 1.230 10.371
2.299 3.689 4.686
2.518 3.689 2.072
3.056 1.230 9.298
3.276 1.230 6.684
5.086 3.689 0.999
5.306 3.689 3.613

***

Entry 4:
Sm2ZnSn2Rh5 (PBE-GGA, relaxed); energy = -6.04 eV per atom; calculated formation energy = -0.4947 eV/atom; space group = P4/mbm, No. 127; spin magnetization = 0.00 μB/atom
1.0
10.214 0.000 0.000
0.000 10.214 0.000
0.000 0.000 3.651
Sm Zn Sn Rh
4 2 4 10
Cartesian
1.730 3.377 0.000
3.377 8.484 0.000
6.837 1.730 0.000
8.484 6.837 0.000
0.000 0.000 0.000
5.107 5.107 0.000
1.336 6.443 0.000
3.771 1.336 0.000
6.443 8.878 0.000
8.878 3.771 0.000
0.000 5.107 1.825
0.568 8.215 1.825
1.999 0.568 1.825
3.108 5.675 1.825
4.539 3.108 1.825
5.107 0.000 1.825
5.675 7.106 1.825
7.106 4.539 1.825
8.215 9.646 1.825
9.646 1.999 1.825

***

Entry 5:
Ce3Mo (PBE-GGA, relaxed); energy = -6.96 eV per atom; calculated formation energy = 0.2030 eV/atom; space group = Immm, No. 71; spin magnetization = 0.00 μB/atom
1.0
-1.687 2.782 4.928
1.687 -2.782 4.928
1.687 2.782 -4.928
Ce Mo
3 1
Cartesian
0.000 0.000 0.000
1.687 0.000 2.643
0.000 2.782 2.285
0.000 0.000 4.928

***

Entry 6:
TbPm6Pr2Er3 (PBE-GGA, relaxed); energy = -4.68 eV per atom; calculated formation energy = 0.0169 eV/atom; space group = C2/m, No. 12; spin magnetization = 0.00 μB/atom
1.0
3.137 -5.434 0.000
3.137 5.434 0.000
-2.089 0.000 11.770
Tb Pm Pr Er
1 6 2 3
Cartesian
0.000 0.000 0.000
1.044 1.806 2.996
-0.005 0.000 8.773
1.044 -1.806 2.996
3.142 1.806 8.774
4.190 0.000 2.997
3.142 -1.806 8.774
3.137 1.812 0.000
3.137 -1.812 0.000
2.093 3.626 5.885
2.093 0.000 5.885
2.093 -3.626 5.885

***

Entry 7:
Li4GeO4 (PBE-GGA, relaxed); E_form (uncorrected) = -1839 meV/atom; energy = -5.41 eV per atom; space group = I-42m, No. 121; spin magnetization = 0.00 μB/atom
1.0
-2.444 2.444 4.299
2.444 -2.444 4.299
2.444 2.444 -4.299
Li Ge O
4 1 4
Cartesian
2.444 0.000 0.000
0.000 0.000 1.688
0.000 2.444 0.000
0.000 0.000 6.911
0.000 0.000 4.299
1.055 -1.055 3.328
1.389 1.389 0.971
-1.055 1.055 3.328
1.055 1.055 5.271

***

Entry 8:
SrAcGaAu (PBE-GGA, relaxed); energy = -3.60 eV per atom; calculated formation energy = -0.5796 eV/atom; energy above the lowest structure with this stoichiometry = 8 meV/atom; space group = F-43m, No. 216; spin magnetization = 0.00 μB/atom
1.0
0.000 3.895 3.895
3.895 0.000 3.895
3.895 3.895 0.000
Sr Ac Ga Au
1 1 1 1
Cartesian
0.000 0.000 0.000
3.895 3.895 3.895
1.947 1.947 1.947
5.842 5.842 5.842